Record 1
A geometry-optimized TiAs2IrSe structure. Source: the Alexandria database, functional GGA-PBE.

Cell and atoms, written as extended XYZ:
```
5
Lattice="4.7998 0.0000 0.0000 0.0000 4.7998 0.0000 0.0000 0.0000 4.7316" Properties=species:S:1:pos:R:3 pbc="T T T"
Ti 0.0000 0.0000 0.0000
As 0.0000 2.3999 0.0000
As 2.3999 0.0000 0.0000
Ir 2.3999 2.3999 2.3658
Se 0.0000 0.0000 2.3658
```

**Polymorph energy (0 for the lowest one)**: 133.8 meV per atom
**Fermi-level density of states**: 4.628 states/eV per cell
**ΔE_f (raw)**: 0.7504 eV/atom

---

Record 2
A geometry-optimized Li2TbNd2Sb2 structure. Source: the Alexandria database, functional GGA-PBE.

Cell and atoms, written as extended XYZ:
```
7
Lattice="2.3835 1.3761 9.1412 -2.3835 1.3761 9.1412 0.0000 -2.7523 9.1412" Properties=species:S:1:pos:R:3 pbc="T T T"
Li 0.0000 0.0000 2.7287
Li 0.0000 0.0000 24.6949
Tb 0.0000 0.0000 13.7118
Nd 0.0000 0.0000 10.1877
Nd 0.0000 0.0000 17.2359
Sb 0.0000 0.0000 6.3502
Sb 0.0000 0.0000 21.0733
```

**Fermi-level density of states**: 4.863 states/eV per cell
**ΔE_f (raw)**: -0.5917 eV/atom

---

Record 3
A geometry-optimized LiNbCd3 structure. Source: the Alexandria database, functional GGA-PBE.

Cell and atoms, written as extended XYZ:
```
5
Lattice="4.5751 0.0000 0.0000 0.0000 4.5751 0.0000 0.0000 0.0000 4.5751" Properties=species:S:1:pos:R:3 pbc="T T T"
Li 0.0000 0.0000 0.0000
Nb 2.2875 2.2875 2.2875
Cd 0.0000 0.0000 2.2875
Cd 0.0000 2.2875 0.0000
Cd 2.2875 0.0000 0.0000
```

**Energy relative to the elements**: 0.5416 eV per atom
**Polymorph energy (0 for the lowest one)**: 0.0 meV per atom
**Fermi-level density of states**: 1.534 states/eV per cell

---

Record 4
A geometry-optimized Sn3Pd8 structure. Source: the Alexandria database, functional GGA-PBE.

Cell and atoms, written as extended XYZ:
```
11
Lattice="4.3878 2.5333 3.1923 -4.3878 2.5333 3.1923 0.0000 -5.0666 3.1923" Properties=species:S:1:pos:R:3 pbc="T T T"
Sn -2.1939 -1.2667 3.1923
Sn -2.1939 1.2666 6.3845
Sn 0.0000 2.5333 3.1923
Pd -2.6397 -2.6620 5.3483
Pd -3.6252 0.9550 4.2285
Pd 0.9855 -3.6171 4.2285
Pd 0.0000 0.0000 3.4004
Pd 0.0000 0.0000 6.1764
Pd -0.9855 3.6171 5.3483
Pd 3.6252 -0.9550 5.3483
Pd 2.6397 2.6620 4.2285
```

**Energy relative to the elements**: -0.1098 eV per atom
**Fermi-level density of states**: 7.373 states/eV per cell

---

Record 5
A geometry-optimized Dy3Y3Tm2 structure. Source: the Alexandria database, functional GGA-PBE.

Cell and atoms, written as extended XYZ:
```
16
Lattice="16.0988 0.0000 0.0000 0.0000 5.6654 0.0000 -2.1360 0.0000 5.5736" Properties=species:S:1:pos:R:3 pbc="T T T"
Dy 0.0000 0.0000 0.0000
Dy 0.6630 0.0000 3.8494
Dy 5.2504 2.8327 1.7242
Dy 8.0494 2.8327 0.0000
Dy 8.7123 2.8327 3.8494
Dy 13.2998 0.0000 1.7242
Y -1.0680 2.8327 2.7868
Y 1.9773 2.8327 0.4331
Y 3.9361 0.0000 5.1405
Y 6.9814 0.0000 2.7868
Y 10.0266 0.0000 0.4331
Y 11.9855 2.8327 5.1405
Tm 3.3382 0.0000 1.7632
Tm 2.5751 2.8327 3.8104
Tm 11.3876 2.8327 1.7632
Tm 10.6245 0.0000 3.8104
```

**Energy relative to the elements**: 0.0961 eV per atom
**Polymorph energy (0 for the lowest one)**: 0.0 meV per atom
**Fermi-level density of states**: 33.088 states/eV per cell

---

Record 6
A geometry-optimized Mg6SiCO8 structure. Source: the Alexandria database, functional GGA-PBE.

Cell and atoms, written as extended XYZ:
```
16
Lattice="4.1518 0.0000 0.0000 0.0000 4.1518 0.0000 0.0000 0.0000 8.9312" Properties=species:S:1:pos:R:3 pbc="T T T"
Mg 0.0000 0.0000 0.0000
Mg 0.0000 0.0000 4.4656
Mg 0.0000 2.0759 2.0397
Mg 0.0000 2.0759 6.8915
Mg 2.0759 0.0000 2.0397
Mg 2.0759 0.0000 6.8915
Si 2.0759 2.0759 4.4656
C 2.0759 2.0759 0.0000
O 0.0000 0.0000 2.2024
O 0.0000 0.0000 6.7288
O 0.0000 2.0759 0.0000
O 0.0000 2.0759 4.4656
O 2.0759 0.0000 0.0000
O 2.0759 0.0000 4.4656
O 2.0759 2.0759 2.7854
O 2.0759 2.0759 6.1458
```

**Polymorph energy (0 for the lowest one)**: 0.0 meV per atom
**Fermi-level density of states**: 0.944 states/eV per cell
**ΔE_f (raw)**: -1.9151 eV/atom